Density functional theory data (GGA-PBE) for crystalline SmCoHg at its relaxed geometry.

## Properties
D(E_F) in states/eV/atom: 0.68
Crystal system: orthorhombic
DFT formation energy in eV/atom: -0.30
M_tot in μB/atom: 0.210

Lattice parameters (Å, degrees): 4.0232 16.6089 3.8997 90.00 90.00 90.00
Closest atoms and distances in Å follow each position.
Space group Cmcm (No. 63)
One atom of each set of equivalent atoms:
Sm 0.0000 0.0971 0.2500  6 Co 2.95-3.00, 4 Hg 3.29
Co 0.0000 0.4669 0.2500  2 Co 2.24
Hg 0.0000 0.2988 0.2500  1 Co 2.79

***

Density functional theory data (GGA-PBE) for crystalline SmThCoHg at its relaxed geometry.

## Properties
D(E_F) in states/eV/atom: 0.91
Crystal system: monoclinic
DFT formation energy in eV/atom: -0.26
M_tot in μB/atom: 0.000

Lattice parameters (Å, degrees): 6.8541 3.9624 8.1587 90.00 106.22 90.00
Closest atoms and distances in Å follow each position.
Space group Cm (No. 8)
One atom of each set of equivalent atoms:
Sm 0.0000 0.0000 0.0000  3 Co 2.81
Th 0.2054 0.0000 0.6167  3 Co 2.66
Co 0.0971 0.5000 0.7913  3 Th 2.66, 3 Sm 2.81
Hg 0.2678 0.5000 0.3039  3 Sm 3.30, 3 Th 3.35

***

Density functional theory data (GGA-PBE) for crystalline SmTmCoHg at its relaxed geometry.

## Properties
D(E_F) in states/eV/atom: 0.64
Crystal system: cubic
DFT formation energy in eV/atom: -0.20
M_tot in μB/atom: 0.124

Lattice parameters (Å, degrees): 7.1402 7.1402 7.1402 90.00 90.00 90.00
Closest atoms and distances in Å follow each position.
Space group F-43m (No. 216)
One atom of each set of equivalent atoms:
Sm 0.0000 0.0000 0.0000  4 Hg 3.09, 4 Co 3.09
Tm 0.0000 0.0000 0.5000  4 Hg 3.09, 4 Co 3.09
Co 0.2500 0.2500 0.7500  4 Tm 3.09, 4 Sm 3.09
Hg 0.2500 0.2500 0.2500  4 Tm 3.09, 4 Sm 3.09

***

Density functional theory data (GGA-PBE) for crystalline Co2SnHg2 at its relaxed geometry.

## Properties
D(E_F) in states/eV/atom: 1.24
Crystal system: tetragonal
DFT formation energy in eV/atom: 0.30
M_tot in μB/atom: 0.302

Lattice parameters (Å, degrees): 6.5062 6.5062 4.1673 90.00 90.00 90.00
Closest atoms and distances in Å follow each position.
Space group P4/mbm (No. 127)
One atom of each set of equivalent atoms:
Co 0.1309 0.3691 0.0000  1 Co 2.41, 2 Sn 2.55
Sn 0.0000 0.0000 0.0000  4 Co 2.55
Hg 0.1647 0.6647 0.5000  6 Co 2.81-2.84, 1 Hg 3.03

***

Density functional theory data (GGA-PBE) for crystalline CoSn2Hg at its relaxed geometry.

## Properties
D(E_F) in states/eV/atom: 0.51
Crystal system: trigonal
DFT formation energy in eV/atom: 0.08
M_tot in μB/atom: 0.000

Lattice parameters (Å, degrees): 3.4282 3.4282 26.8604 90.00 90.00 120.00
Closest atoms and distances in Å follow each position.
Space group R-3m (No. 166, hexagonal axes)
One atom of each set of equivalent atoms:
Co 0.0000 0.0000 0.0000  6 Sn 2.58
Sn 0.0000 0.0000 0.3948  3 Co 2.58, 1 Hg 2.83
Hg 0.0000 0.0000 0.5000  2 Sn 2.83

***

Density functional theory data (GGA-PBE) for crystalline CoSn2Hg2 at its relaxed geometry.

## Properties
D(E_F) in states/eV/atom: 1.29
Crystal system: tetragonal
DFT formation energy in eV/atom: 0.47
M_tot in μB/atom: 0.314

Lattice parameters (Å, degrees): 7.1303 7.1303 4.6370 90.00 90.00 90.00
Closest atoms and distances in Å follow each position.
Space group P4/mbm (No. 127)
One atom of each set of equivalent atoms:
Co 0.0000 0.0000 0.0000  4 Hg 2.71
Sn 0.1664 0.3336 0.5000  6 Hg 2.95-3.25
Hg 0.1526 0.6526 0.0000  2 Co 2.71, 2 Sn 2.95

***

Density functional theory data (GGA-PBE) for crystalline Co2SnHg2 at its relaxed geometry.

## Properties
D(E_F) in states/eV/atom: 0.66
Crystal system: tetragonal
DFT formation energy in eV/atom: 0.37
M_tot in μB/atom: 0.673

Lattice parameters (Å, degrees): 3.3316 3.3316 17.9890 90.00 90.00 90.00
Closest atoms and distances in Å follow each position.
Space group I4/mmm (No. 139)
One atom of each set of equivalent atoms:
Co 0.0000 0.5000 0.2500  4 Co 2.36
Sn 0.0000 0.0000 0.0000  8 Hg 3.27, 4 Sn 3.33
Hg 0.0000 0.0000 0.3742  4 Co 2.79

***

Density functional theory data (GGA-PBE) for crystalline CoSnHg2 at its relaxed geometry.

## Properties
D(E_F) in states/eV/atom: 0.63
Crystal system: tetragonal
DFT formation energy in eV/atom: 0.33
M_tot in μB/atom: 0.000

Lattice parameters (Å, degrees): 8.9120 8.9120 4.9014 90.00 90.00 90.00
Closest atoms and distances in Å follow each position.
Space group I-42d (No. 122)
One atom of each set of equivalent atoms:
Co 0.0000 0.0000 0.0000  2 Sn 2.45, 4 Hg 2.61
Sn 0.0000 0.0000 0.5000  2 Co 2.45
Hg 0.1361 0.7500 0.1250  2 Co 2.61